Run w
Entry from Alexandria via LeMat-Bulk: a geometry-optimized ScTc3As structure (GGA-PBE).

Calculated volume in A^3/atom: 19.00

abc: 4.5630 4.5630 4.5630
angles: 90.00 90.00 90.00
Element x y z (fractional)
Sc: 0.0000 0.0000 0.0000
Tc: 0.0000 0.5000 0.5000
Tc: 0.5000 0.0000 0.5000
Tc: 0.5000 0.5000 0.0000
As: 0.5000 0.5000 0.5000

Run x
Entry from Alexandria via LeMat-Bulk: a geometry-optimized ScTc3As structure (GGA-PBE).

Calculated volume in A^3/atom: 19.71

abc: 4.6191 4.6191 4.6191
angles: 90.00 90.00 90.00
Element x y z (fractional)
Sc: 0.0000 0.0000 0.0000
Tc: 0.0000 0.0000 0.5000
Tc: 0.0000 0.5000 0.0000
Tc: 0.5000 0.0000 0.0000
As: 0.5000 0.5000 0.5000

run w takes first place; second place is 1279 meV/atom up.

Run w
Entry from Alexandria via LeMat-Bulk: a geometry-optimized ScTc2As2 structure (GGA-PBE).

Calculated volume in A^3/atom: 16.08

abc: 7.2445 7.2445 3.0642
angles: 90.00 90.00 90.00
Element x y z (fractional)
Sc: 0.0000 0.0000 0.0000
Sc: 0.5000 0.5000 0.0000
Tc: 0.1433 0.3567 0.5000
Tc: 0.3567 0.8567 0.5000
Tc: 0.6433 0.1433 0.5000
Tc: 0.8567 0.6433 0.5000
As: 0.1505 0.6505 0.0000
As: 0.3495 0.1505 0.0000
As: 0.6505 0.8495 0.0000
As: 0.8495 0.3495 0.0000

Run x
Entry from Alexandria via LeMat-Bulk: a geometry-optimized ScTc2As2 structure (GGA-PBE).

Calculated volume in A^3/atom: 18.18

abc: 4.4930 4.4930 9.0035
angles: 90.00 90.00 90.00
Element x y z (fractional)
Sc: 0.0000 0.0000 0.0000
Sc: 0.5000 0.5000 0.5000
Tc: 0.0000 0.0000 0.3730
Tc: 0.0000 0.0000 0.6270
Tc: 0.5000 0.5000 0.1270
Tc: 0.5000 0.5000 0.8730
As: 0.0000 0.5000 0.2500
As: 0.0000 0.5000 0.7500
As: 0.5000 0.0000 0.2500
As: 0.5000 0.0000 0.7500

run w takes first place; second place is 50 meV/atom up.

Run w
Entry from Alexandria via LeMat-Bulk: a geometry-optimized Sc3TeAs structure (GGA-PBE).

Calculated volume in A^3/atom: 25.74

abc: 5.0489 5.0489 5.0489
angles: 90.00 90.00 90.00
Element x y z (fractional)
Sc: 0.0000 0.0000 0.5000
Sc: 0.0000 0.5000 0.0000
Sc: 0.5000 0.0000 0.0000
Te: 0.5000 0.5000 0.5000
As: 0.0000 0.0000 0.0000

Run x
Entry from Alexandria via LeMat-Bulk: a geometry-optimized Sc3TeAs structure (GGA-PBE).

Calculated volume in A^3/atom: 22.74

abc: 6.5358 3.9858 8.7788
angles: 90.00 96.03 90.00
Element x y z (fractional)
Sc: 0.0174 0.2500 0.1697
Sc: 0.3183 0.7500 0.4144
Sc: 0.4771 0.7500 0.8278
Sc: 0.5229 0.2500 0.1722
Sc: 0.6817 0.2500 0.5856
Sc: 0.9826 0.7500 0.8303
Te: 0.2055 0.2500 0.6491
Te: 0.7945 0.7500 0.3509
As: 0.2602 0.7500 0.0831
As: 0.7398 0.2500 0.9169

Run y
Entry from Alexandria via LeMat-Bulk: a geometry-optimized Sc3TeAs structure (GGA-PBE).

Calculated volume in A^3/atom: 25.40

abc: 8.9051 8.9051 6.6965
angles: 100.00 100.00 79.05
Element x y z (fractional)
Sc: 0.0366 0.1487 0.4292
Sc: 0.1339 0.6661 0.0343
Sc: 0.1487 0.0366 0.9292
Sc: 0.3141 0.4709 0.5388
Sc: 0.3339 0.8661 0.4657
Sc: 0.4709 0.3141 0.0388
Sc: 0.5291 0.6859 0.9612
Sc: 0.6661 0.1339 0.5343
Sc: 0.6859 0.5291 0.4612
Sc: 0.8513 0.9634 0.0708
Sc: 0.8661 0.3339 0.9657
Sc: 0.9634 0.8513 0.5708
Te: 0.1447 0.3502 0.7992
Te: 0.3502 0.1447 0.2992
Te: 0.6498 0.8553 0.7008
Te: 0.8553 0.6498 0.2008
As: 0.2491 0.7509 0.7500
As: 0.4083 0.5917 0.2500
As: 0.5917 0.4083 0.7500
As: 0.7509 0.2491 0.2500

run x takes first place; second place is 110 meV/atom up.

Run w
Entry from Alexandria via LeMat-Bulk: a geometry-optimized Sc2TeAs2 structure (GGA-PBE).

Calculated volume in A^3/atom: 21.49

abc: 7.6510 7.6510 3.6705
angles: 90.00 90.00 90.00
Element x y z (fractional)
Sc: 0.1592 0.3408 0.0000
Sc: 0.3408 0.8408 0.0000
Sc: 0.6592 0.1592 0.0000
Sc: 0.8408 0.6592 0.0000
Te: 0.0000 0.0000 0.0000
Te: 0.5000 0.5000 0.0000
As: 0.1345 0.6345 0.5000
As: 0.3655 0.1345 0.5000
As: 0.6345 0.8655 0.5000
As: 0.8655 0.3655 0.5000

Run x
Entry from Alexandria via LeMat-Bulk: a geometry-optimized Sc2TeAs2 structure (GGA-PBE).

Calculated volume in A^3/atom: 21.88

abc: 3.8975 3.8975 14.4027
angles: 90.00 90.00 90.00
Element x y z (fractional)
Sc: 0.0000 0.0000 0.1121
Sc: 0.0000 0.0000 0.8879
Sc: 0.5000 0.5000 0.3879
Sc: 0.5000 0.5000 0.6121
Te: 0.0000 0.0000 0.5000
Te: 0.5000 0.5000 0.0000
As: 0.0000 0.5000 0.2500
As: 0.0000 0.5000 0.7500
As: 0.5000 0.0000 0.2500
As: 0.5000 0.0000 0.7500

run x takes first place; second place is 55 meV/atom up.